No. 1
Entry from Alexandria: a relaxed structure of TlZn2Cu (PBE-GGA).

Properties
Space group   Cm, No. 8
Electronic total energy   -8.292 eV for the cell shown
Crystal system   monoclinic
Offset from the most stable computed form   52 meV/atom
Energy of formation from the pure elements   0.18 eV/atom

abc: 4.679 4.679 4.914
angles: 99.94 99.94 44.14
Element x y z (fractional)
Tl 0.000 0.000 0.000
Zn 0.510 0.510 0.523
Zn 0.770 0.770 0.328
Cu 0.241 0.241 0.694


No. 2
Entry from Alexandria: a relaxed structure of MgTa2W (PBE-GGA).

Properties
Space group   Cmmm, No. 65
Electronic total energy   -36.904 eV for the cell shown
Crystal system   orthorhombic
Energy of formation from the pure elements   0.34 eV/atom

abc: 5.369 5.369 2.732
angles: 90.00 90.00 114.62
Element x y z (fractional)
Mg 0.000 0.000 0.000
Ta 0.000 0.500 0.500
Ta 0.500 0.000 0.500
W 0.500 0.500 0.000


No. 3
Entry from Alexandria: a relaxed structure of PuThCuGe (PBE-GGA).

Properties
Space group   F-43m, No. 216
Electronic total energy   -31.437 eV for the cell shown
Crystal system   cubic
Energy of formation from the pure elements   -0.24 eV/atom

abc: 5.072 5.072 5.072
angles: 60.00 60.00 60.00
Element x y z (fractional)
Pu 0.000 0.000 0.000
Th 0.500 0.500 0.500
Cu 0.750 0.750 0.750
Ge 0.250 0.250 0.250


No. 4
Entry from Alexandria: a relaxed structure of Si2NiAg (PBE-GGA).

Properties
Space group   Pm, No. 6
Electronic total energy   -19.067 eV for the cell shown
Crystal system   monoclinic
E_form (uncorrected)   0.103 eV per atom
Offset from the most stable computed form   118 meV/atom

abc: 3.052 4.304 4.512
angles: 90.00 96.72 90.00
Element x y z (fractional)
Si 0.000 0.000 0.000
Si 0.495 0.500 0.819
Ni 0.423 0.000 0.608
Ag 0.955 0.500 0.336


No. 5
Entry from Alexandria: a relaxed structure of Re2AsPt (PBE-GGA).

Properties
Space group   Imm2, No. 44
Electronic total energy   -34.541 eV for the cell shown
Crystal system   orthorhombic
Energy of formation from the pure elements   0.26 eV/atom

abc: 5.196 5.196 5.196
angles: 145.96 129.20 62.57
Element x y z (fractional)
Re 0.000 0.000 0.000
Re 0.733 0.233 0.500
As 0.227 0.727 0.500
Pt 0.457 0.457 0.000


What is the electronic total energy in the first record?
-8.292 eV for the cell shown


Look up the electronic total energy of the third one.
-31.437 eV for the cell shown